# PBE Cr2InBr, optimized geometry
data_Cr2InBr
_symmetry_space_group_name_H-M 'R 3 m'
_symmetry_Int_Tables_number 160
_symmetry_space_group_name_Hall 'R 3 -2"'
_cell_length_a 3.3057
_cell_length_b 3.3057
_cell_length_c 25.2568
_cell_angle_alpha 90.00
_cell_angle_beta 90.00
_cell_angle_gamma 120.00
loop_
_atom_site_label
_atom_site_type_symbol
_atom_site_fract_x
_atom_site_fract_y
_atom_site_fract_z
_atom_site_occupancy
Cr1 Cr 0.0000 0.0000 0.0000 1
Cr2 Cr 0.0000 0.0000 0.2693 1
In1 In 0.0000 0.0000 0.7526 1
Br1 Br 0.0000 0.0000 0.5277 1
# Total magnetization ... 0.63 μB per cell
# VASP energy ... -5.617 eV/atom
# Formation energy (no corrections) ... 0.2971 eV per atom
# Distance to the lowest polymorph of the same formula ... 0.081 eV/atom
# Volume ... 19.9 A^3/atom

=====

# PBE K6Rb3Hg2, optimized geometry
data_K6Rb3Hg2
_symmetry_space_group_name_H-M 'I 4/m m m'
_symmetry_Int_Tables_number 139
_symmetry_space_group_name_Hall '-I 4 2'
_cell_length_a 6.066
_cell_length_b 6.066
_cell_length_c 38.794
_cell_angle_alpha 90.00
_cell_angle_beta 90.00
_cell_angle_gamma 90.00
loop_
_atom_site_label
_atom_site_type_symbol
_atom_site_fract_x
_atom_site_fract_y
_atom_site_fract_z
_atom_site_occupancy
K1 K 0.000 0.000 0.174 1
K2 K 0.000 0.500 0.090 1
Rb1 Rb 0.000 0.000 0.292 1
Rb2 Rb 0.000 0.000 0.500 1
Hg1 Hg 0.000 0.000 0.038 1
# Total magnetization ... 0.00 μB per cell
# Energy of formation ... -47 kJ/mol of formula units
# VASP energy ... -0.962 eV/atom
# Volume ... 64.9 A^3/atom

=====

# PBE PrDyTePb, optimized geometry
data_PrDyTePb
_symmetry_space_group_name_H-M 'R 3 m'
_symmetry_Int_Tables_number 160
_symmetry_space_group_name_Hall 'R 3 -2"'
_cell_length_a 4.5014
_cell_length_b 4.5014
_cell_length_c 22.0675
_cell_angle_alpha 90.00
_cell_angle_beta 90.00
_cell_angle_gamma 120.00
loop_
_atom_site_label
_atom_site_type_symbol
_atom_site_fract_x
_atom_site_fract_y
_atom_site_fract_z
_atom_site_occupancy
Pr1 Pr 0.0000 0.0000 0.0000 1
Dy1 Dy 0.0000 0.0000 0.4949 1
Te1 Te 0.0000 0.0000 0.2434 1
Pb1 Pb 0.0000 0.0000 0.7509 1
# Total magnetization ... 0.00 μB per cell
# VASP energy ... -5.036 eV/atom
# Formation energy (no corrections) ... -0.9781 eV per atom
# Volume ... 32.3 A^3/atom